# 1
Rb3Sr2ReO6 | PBE | relaxed

Values from the calculation:
- E: -5.90 eV per atom
- Space group: No. 12
- Energy relative to the elements, uncorrected: -1.857 eV/atom

a b c (Å): 6.1812 6.1812 6.7661
angles (deg): 98.78 98.78 119.91
Element x y z (fractional)
O 0.3324 0.0593 0.1765
O 0.9407 0.6676 0.8235
O 0.0593 0.3324 0.1765
O 0.2163 0.2163 0.8208
O 0.7837 0.7837 0.1792
O 0.6676 0.9407 0.8235
Rb 0.8352 0.1648 0.5000
Rb 0.1648 0.8352 0.5000
Rb 0.5000 0.5000 0.5000
Sr 0.6664 0.3336 0.0000
Sr 0.3336 0.6664 0.0000
Re 0.0000 0.0000 0.0000



# 2
BeMoOs2 | PBE | relaxed

Values from the calculation:
- E: -9.20 eV per atom
- Space group: No. 44
- Calculated formation energy: 0.051 eV per atom

a b c (Å): 4.9618 4.9618 4.9618
angles (deg): 144.79 129.89 62.71
Element x y z (fractional)
Mo 0.2617 0.7617 0.5000
Os 0.9984 0.9984 0.0000
Os 0.7326 0.2326 0.5000
Be 0.5073 0.5073 0.0000



# 3
AlW3C4 | PBE | relaxed

Values from the calculation:
- E: -9.76 eV per atom
- Space group: No. 25
- Calculated formation energy: 0.179 eV per atom

a b c (Å): 2.8312 2.9490 10.1530
angles (deg): 90.00 90.00 90.00
Element x y z (fractional)
W 0.0000 0.5000 0.0025
W 0.0000 0.5000 0.5014
W 0.0000 0.0000 0.2517
C 0.5000 0.0000 0.9263
C 0.5000 0.5000 0.6611
C 0.5000 0.0000 0.4177
C 0.5000 0.5000 0.1684
Al 0.0000 0.0000 0.7375



# 4
TlPRuCl2 | PBE | relaxed

Values from the calculation:
- E: -4.30 eV per atom
- Space group: No. 123
- Polymorph energy (0 for the lowest one): 0 meV per atom
- Energy relative to the elements, uncorrected: -0.156 eV/atom

a b c (Å): 5.1323 5.1323 4.4625
angles (deg): 90.00 90.00 90.00
Element x y z (fractional)
P 0.0000 0.0000 0.5000
Cl 0.5000 0.0000 0.0000
Cl 0.0000 0.5000 0.0000
Ru 0.0000 0.0000 0.0000
Tl 0.5000 0.5000 0.5000



# 5
Al2CdCo | PBE | relaxed

Values from the calculation:
- E: -3.83 eV per atom
- Space group: No. 123
- Calculated formation energy: 0.042 eV per atom

a b c (Å): 3.9689 3.9670 3.8320
angles (deg): 90.00 90.00 90.00
Element x y z (fractional)
Al 0.5000 0.5000 0.0000
Al 0.0000 0.0000 0.0000
Co 0.0000 0.5000 0.5000
Cd 0.5000 0.0000 0.5000



# 6
CaAcNdLu | PBE | relaxed

Values from the calculation:
- E: -3.75 eV per atom
- Space group: No. 216
- Calculated formation energy: 0.101 eV per atom

a b c (Å): 5.9419 5.9419 5.9419
angles (deg): 60.00 60.00 60.00
Element x y z (fractional)
Ca 0.5000 0.5000 0.5000
Ac 0.7500 0.7500 0.7500
Nd 0.2500 0.2500 0.2500
Lu 0.0000 0.0000 0.0000



# 7
Pm3Sm3Y2 | PBE | relaxed

Values from the calculation:
- E: -5.09 eV per atom
- Space group: No. 12
- Polymorph energy (0 for the lowest one): 56 meV per atom
- Calculated formation energy: 0.080 eV per atom

a b c (Å): 5.8203 6.0691 8.7548
angles (deg): 110.13 109.41 90.00
Element x y z (fractional)
Pm 0.1331 0.6903 0.2662
Pm 0.8669 0.3097 0.7338
Pm 0.0000 0.0000 0.0000
Y 0.2500 0.3155 0.5001
Y 0.7500 0.6845 0.4999
Sm 0.3673 0.9224 0.7346
Sm 0.5000 0.5000 0.0000
Sm 0.6327 0.0776 0.2654



# 8
Cs3OsCl6 | PBE | relaxed

Values from the calculation:
- E: -3.79 eV per atom
- Space group: No. 225
- Energy relative to the elements, uncorrected: -1.298 eV/atom

a b c (Å): 7.9567 7.9567 7.9565
angles (deg): 60.00 60.00 90.00
Element x y z (fractional)
Cs 0.5000 0.5000 0.0000
Cs 0.7500 0.2500 0.5000
Cs 0.2500 0.7500 0.5000
Cl 0.2116 0.2116 0.0000
Cl 0.7884 0.2116 0.0000
Cl 0.7884 0.7884 0.4232
Cl 0.7884 0.7884 0.0000
Cl 0.2116 0.2116 0.5768
Cl 0.2116 0.7884 0.0000
Os 0.0000 0.0000 0.0000